Record 1
## BaCoRe (GGA-PBE)

Data for a relaxed BaCoRe crystal.

Computed properties:
**E_tot**: -6.731 eV/atom
**SG**: P1
**Distance to the lowest polymorph of the same formula**: 0.101 eV/atom
**Total magnetic moment**: 0.959 μB per cell
**Calculated formation energy**: 0.4282 eV per atom
**Mass density**: 7854 kg/m³

Cell: 4.1483 4.1494 11.0869 Å, 100.18 90.23 119.99°
Last column: nearest neighbours and their distance in Å.
Element x y z (fractional)
Ba 0.0000 0.0000 0.0000  4 Co 3.08-3.12
Ba 0.2001 0.3867 0.6095  3 Re 3.34, 1 Co 3.49
Co 0.0941 0.1820 0.2879  6 Re 2.40-2.66, 3 Co 2.67
Co 0.3914 0.7798 0.1795  1 Re 2.34
Re 0.4629 0.9167 0.3950  1 Co 2.34
Re 0.7622 0.5183 0.2923  3 Co 2.40, 3 Re 2.64

***

Record 2
## BaCoRe (GGA-PBE)

Data for a relaxed BaCoRe crystal.

Computed properties:
**E_tot**: -6.708 eV/atom
**SG**: P1
**Distance to the lowest polymorph of the same formula**: 0.123 eV/atom
**Total magnetic moment**: 0.969 μB per cell
**Calculated formation energy**: 0.4504 eV per atom
**Mass density**: 7689 kg/m³

Cell: 3.8732 4.5229 10.5521 Å, 82.09 89.62 64.66°
Last column: nearest neighbours and their distance in Å.
Element x y z (fractional)
Ba 0.0000 0.0000 0.0000  5 Re 3.28-3.67, 1 Co 3.55
Ba 0.3590 0.3047 0.3963  3 Co 3.03-3.25
Co 0.1060 0.8039 0.5812  3 Re 2.38-2.46, 1 Co 2.46
Co 0.8418 0.3285 0.6687  5 Re 2.45-2.54, 1 Co 2.46
Re 0.2619 0.4841 0.7894  3 Co 2.38-2.45, 1 Re 2.54
Re 0.5429 0.9253 0.7107  5 Co 2.46-2.54, 3 Re 2.54-2.69

***

Record 3
## BaCoRe (GGA-PBE)

Data for a relaxed BaCoRe crystal.

Computed properties:
**E_tot**: -5.382 eV/atom
**SG**: P6_3/mmc
**Distance to the lowest polymorph of the same formula**: 1.450 eV/atom
**Total magnetic moment**: 4.721 μB per cell
**Calculated formation energy**: 1.7774 eV per atom
**Mass density**: 5580 kg/m³

Cell: 5.4801 5.4801 8.7527 Å, 90.00 90.00 120.00°
Last column: nearest neighbours and their distance in Å.
Element x y z (fractional)
Ba 0.3333 0.6667 0.2500  3 Re 3.16
Ba 0.6667 0.3333 0.7500  3 Re 3.16
Co 0.0000 0.0000 0.0000  2 Re 2.19
Co 0.0000 0.0000 0.5000  2 Re 2.19
Re 0.0000 0.0000 0.2500  2 Co 2.19
Re 0.0000 0.0000 0.7500  2 Co 2.19

***

Record 4
## BaCoRe (GGA-PBE)

Data for a relaxed BaCoRe crystal.

Computed properties:
**E_tot**: -6.832 eV/atom
**SG**: C2/m
**Distance to the lowest polymorph of the same formula**: 0.000 eV/atom
**Total magnetic moment**: 0.000 μB per cell
**Calculated formation energy**: 0.3273 eV per atom
**Mass density**: 7534 kg/m³

Cell: 4.1908 4.1908 9.6505 Å, 91.44 91.44 84.48°
Last column: nearest neighbours and their distance in Å.
Element x y z (fractional)
Ba 0.2433 0.2433 0.2957  4 Co 3.30-3.64, 4 Re 3.43-3.66
Ba 0.7567 0.7567 0.7043  4 Co 3.30-3.64, 4 Re 3.43-3.66
Co 0.2826 0.2826 0.8821  4 Re 2.32-2.47
Co 0.7174 0.7174 0.1179  4 Re 2.32-2.47
Re 0.2256 0.7744 0.0000  4 Co 2.32-2.47, 1 Re 2.54
Re 0.7744 0.2256 0.0000  4 Co 2.32-2.47, 1 Re 2.54

***

Record 5
## BaCoRe (GGA-PBE)

Data for a relaxed BaCoRe crystal.

Computed properties:
**E_tot**: -6.728 eV/atom
**SG**: Cm
**Distance to the lowest polymorph of the same formula**: 0.104 eV/atom
**Total magnetic moment**: 0.013 μB per cell
**Calculated formation energy**: 0.4312 eV per atom
**Mass density**: 7510 kg/m³

Cell: 4.2601 4.2601 11.0500 Å, 101.38 101.38 60.01°
Last column: nearest neighbours and their distance in Å.
Element x y z (fractional)
Ba 0.0000 0.0000 0.0000  3 Co 3.19, 1 Re 3.24
Ba 0.2058 0.2058 0.6019  3 Co 3.19, 1 Re 3.24
Co 0.7313 0.7313 0.1890  1 Co 2.41
Co 0.8078 0.8078 0.4131  1 Co 2.41
Re 0.1028 0.1028 0.3009  3 Re 2.46, 6 Co 2.74
Re 0.4363 0.4363 0.3013  3 Re 2.46, 6 Co 2.74

***

Record 6
## BaCoRe (GGA-PBE)

Data for a relaxed BaCoRe crystal.

Computed properties:
**E_tot**: -6.526 eV/atom
**SG**: P-6m2
**Distance to the lowest polymorph of the same formula**: 0.306 eV/atom
**Total magnetic moment**: 0.000 μB per cell
**Calculated formation energy**: 0.6329 eV per atom
**Mass density**: 8654 kg/m³

Cell: 3.9872 3.9872 5.3304 Å, 90.00 90.00 120.00°
Last column: nearest neighbours and their distance in Å.
Element x y z (fractional)
Ba 0.0000 0.0000 0.0000  6 Co 3.52, 6 Re 3.52
Co 0.6667 0.3333 0.5000  3 Re 2.30
Re 0.3333 0.6667 0.5000  3 Co 2.30

***

Record 7
## BaCoRe (GGA-PBE)

Data for a relaxed BaCoRe crystal.

Computed properties:
**E_tot**: -6.510 eV/atom
**SG**: Pnma
**Distance to the lowest polymorph of the same formula**: 0.321 eV/atom
**Total magnetic moment**: 0.000 μB per cell
**Calculated formation energy**: 0.6487 eV per atom
**Mass density**: 8317 kg/m³

Cell: 7.6953 4.1228 9.6277 Å, 90.00 90.00 90.00°
Last column: nearest neighbours and their distance in Å.
Element x y z (fractional)
Ba 0.0033 0.2500 0.1913  6 Co 3.42-3.77, 6 Re 3.46-3.77
Ba 0.4967 0.7500 0.6913  6 Co 3.42-3.77, 6 Re 3.46-3.77
Ba 0.5033 0.2500 0.3087  6 Co 3.42-3.77, 6 Re 3.46-3.77
Ba 0.9967 0.7500 0.8087  6 Co 3.42-3.77, 6 Re 3.46-3.77
Co 0.1690 0.7500 0.4416  3 Re 2.29-2.32
Co 0.3310 0.2500 0.9416  3 Re 2.29-2.32
Co 0.6690 0.7500 0.0584  3 Re 2.29-2.32
Co 0.8310 0.2500 0.5584  3 Re 2.29-2.32
Re 0.1318 0.2500 0.5406  3 Co 2.29-2.32
Re 0.3682 0.7500 0.0406  3 Co 2.29-2.32
Re 0.6318 0.2500 0.9594  3 Co 2.29-2.32
Re 0.8682 0.7500 0.4594  3 Co 2.29-2.32

***

Record 8
## Ba2CoRe (GGA-PBE)

Data for a relaxed Ba2CoRe crystal.

Computed properties:
**E_tot**: -5.237 eV/atom
**SG**: Amm2
**Distance to the lowest polymorph of the same formula**: 0.205 eV/atom
**Total magnetic moment**: 0.000 μB per cell
**Calculated formation energy**: 0.6125 eV per atom
**Mass density**: 7089 kg/m³

Cell: 4.0525 6.5067 6.5067 Å, 45.21 90.00 90.00°
Last column: nearest neighbours and their distance in Å.
Element x y z (fractional)
Ba 0.0000 0.0000 0.0000  2 Co 3.33, 4 Re 3.42
Ba 0.5000 0.2827 0.2827  2 Re 3.35, 4 Co 3.44
Co 0.0000 0.6825 0.6825  2 Re 2.27
Re 0.5000 0.5974 0.5974  2 Co 2.27

***

Record 9
## BaCoRe (GGA-PBE)

Data for a relaxed BaCoRe crystal.

Computed properties:
**E_tot**: -6.376 eV/atom
**SG**: Pnma
**Distance to the lowest polymorph of the same formula**: 0.455 eV/atom
**Total magnetic moment**: 0.006 μB per cell
**Calculated formation energy**: 0.7826 eV per atom
**Mass density**: 8595 kg/m³

Cell: 6.0100 4.0519 12.1375 Å, 90.00 90.00 90.00°
Last column: nearest neighbours and their distance in Å.
Element x y z (fractional)
Ba 0.1059 0.2500 0.1362  2 Co 3.11-3.32, 2 Re 3.46
Ba 0.3941 0.7500 0.6362  2 Co 3.11-3.32, 2 Re 3.46
Ba 0.6059 0.2500 0.3638  2 Co 3.11-3.32, 2 Re 3.46
Ba 0.8941 0.7500 0.8638  2 Co 3.11-3.32, 2 Re 3.46
Co 0.0867 0.2500 0.4580  3 Re 2.31-2.40, 2 Co 2.50
Co 0.4133 0.7500 0.9580  3 Re 2.31-2.40, 2 Co 2.50
Co 0.5867 0.2500 0.0420  3 Re 2.31-2.40, 2 Co 2.50
Co 0.9133 0.7500 0.5420  3 Re 2.31-2.40, 2 Co 2.50
Re 0.1010 0.7500 0.3672  3 Co 2.31-2.40
Re 0.3990 0.2500 0.8672  3 Co 2.31-2.40
Re 0.6010 0.7500 0.1328  3 Co 2.31-2.40
Re 0.8990 0.2500 0.6328  3 Co 2.31-2.40

***

Record 10
## BaCoRe (GGA-PBE)

Data for a relaxed BaCoRe crystal.

Computed properties:
**E_tot**: -6.803 eV/atom
**SG**: P2_1/m
**Distance to the lowest polymorph of the same formula**: 0.029 eV/atom
**Total magnetic moment**: 0.002 μB per cell
**Calculated formation energy**: 0.3560 eV per atom
**Mass density**: 7357 kg/m³

Cell: 4.8861 3.9560 8.9973 Å, 90.00 96.91 90.00°
Last column: nearest neighbours and their distance in Å.
Element x y z (fractional)
Ba 0.2063 0.2500 0.2989  3 Co 3.15-3.16, 1 Re 3.43
Ba 0.7937 0.7500 0.7011  3 Co 3.15-3.16, 1 Re 3.43
Co 0.1279 0.7500 0.0246  2 Co 2.35, 4 Re 2.46-2.47
Co 0.8721 0.2500 0.9754  2 Co 2.35, 4 Re 2.46-2.47
Re 0.3622 0.2500 0.9371  4 Co 2.46-2.47, 2 Re 2.58
Re 0.6378 0.7500 0.0629  4 Co 2.46-2.47, 2 Re 2.58

***

Record 11
## Ba2CoRe (GGA-PBE)

Data for a relaxed Ba2CoRe crystal.

Computed properties:
**E_tot**: -4.354 eV/atom
**SG**: R-3m
**Distance to the lowest polymorph of the same formula**: 1.089 eV/atom
**Total magnetic moment**: 2.281 μB per cell
**Calculated formation energy**: 1.4963 eV per atom
**Mass density**: 8212 kg/m³

Cell: 9.9824 9.9824 9.9824 Å, 20.33 20.33 20.33°
Last column: nearest neighbours and their distance in Å.
Element x y z (fractional)
Ba 0.2472 0.2472 0.2472  3 Co 3.12, 3 Re 3.24
Ba 0.7528 0.7528 0.7528  3 Co 3.12, 3 Re 3.24
Co 0.5000 0.5000 0.5000  6 Ba 3.12
Re 0.0000 0.0000 0.0000  6 Ba 3.24, 6 Re 3.52

***

Record 12
## Ba2CoRe (GGA-PBE)

Data for a relaxed Ba2CoRe crystal.

Computed properties:
**E_tot**: -5.442 eV/atom
**SG**: R3m
**Distance to the lowest polymorph of the same formula**: 0.000 eV/atom
**Total magnetic moment**: 1.114 μB per cell
**Calculated formation energy**: 0.4076 eV per atom
**Mass density**: 6486 kg/m³

Cell: 9.3735 9.3735 9.3735 Å, 25.37 25.37 25.37°
Last column: nearest neighbours and their distance in Å.
Element x y z (fractional)
Ba 0.0000 0.0000 0.0000  3 Co 3.35, 3 Re 3.36
Ba 0.1747 0.1747 0.1747  3 Re 3.36, 3 Co 3.37
Co 0.4203 0.4203 0.4203  3 Re 2.38
Re 0.7542 0.7542 0.7542  3 Co 2.38

***

Record 13
## Ba2CoRe (GGA-PBE)

Data for a relaxed Ba2CoRe crystal.

Computed properties:
**E_tot**: -4.518 eV/atom
**SG**: P2/m
**Distance to the lowest polymorph of the same formula**: 0.924 eV/atom
**Total magnetic moment**: 1.854 μB per cell
**Calculated formation energy**: 1.3317 eV per atom
**Mass density**: 7920 kg/m³

Cell: 3.1279 3.9381 8.8476 Å, 90.00 90.08 90.00°
Last column: nearest neighbours and their distance in Å.
Element x y z (fractional)
Ba 0.0001 0.0000 0.2492  2 Ba 3.13, 4 Co 3.34-3.35, 4 Re 3.35-3.36
Ba 0.9999 0.0000 0.7508  2 Ba 3.13, 4 Co 3.34-3.35, 4 Re 3.35-3.36
Co 0.5000 0.5000 0.0000  2 Co 3.13, 8 Ba 3.34-3.35
Re 0.5000 0.5000 0.5000  2 Re 3.13, 8 Ba 3.35-3.36

***

Record 14
## BaCoRe (GGA-PBE)

Data for a relaxed BaCoRe crystal.

Computed properties:
**E_tot**: -4.671 eV/atom
**SG**: F-43m
**Distance to the lowest polymorph of the same formula**: 2.161 eV/atom
**Total magnetic moment**: 4.010 μB per cell
**Calculated formation energy**: 2.4884 eV per atom
**Mass density**: 8279 kg/m³

Cell: 4.7694 4.7694 4.7694 Å, 60.00 60.00 60.00°
Last column: nearest neighbours and their distance in Å.
Element x y z (fractional)
Ba 0.0000 0.0000 0.0000  4 Co 2.92, 4 Re 2.92
Co 0.2500 0.2500 0.2500  4 Ba 2.92
Re 0.7500 0.7500 0.7500  4 Ba 2.92